1.
DFT (GGA-PBE) results for an optimized crystal structure of Sr4Pt5.

Structure (CIF):
```
data_Sr4Pt5
_chemical_formula_sum 'Sr8 Pt10'
_symmetry_space_group_name_H-M 'P 63/m c m'
_symmetry_Int_Tables_number 193
_symmetry_space_group_name_Hall '-P 6c 2'
_cell_length_a 9.0464
_cell_length_b 9.0464
_cell_length_c 6.1244
_cell_angle_alpha 90.00
_cell_angle_beta 90.00
_cell_angle_gamma 120.00
loop_
_atom_site_label
_atom_site_type_symbol
_atom_site_fract_x
_atom_site_fract_y
_atom_site_fract_z
_atom_site_occupancy
Sr1 Sr 0.0000 0.0000 0.0000 1
Sr2 Sr 0.0000 0.3772 0.2500 1
Pt1 Pt 0.0000 0.2943 0.7500 1
Pt2 Pt 0.3333 0.6667 0.0000 1
```

Properties
- energy above the most stable polymorph in this dataset (eV per atom) = 0.0000
- total energy (eV/atom) = -4.547
- formation enthalpy at 0 K (eV per atom) = -0.443


2.
DFT (GGA-PBE) results for an optimized crystal structure of Sr3Pt5.

Structure (CIF):
```
data_Sr3Pt5
_chemical_formula_sum 'Sr12 Pt20'
_symmetry_space_group_name_H-M 'C 1 m 1'
_symmetry_Int_Tables_number 8
_symmetry_space_group_name_Hall 'C -2y'
_cell_length_a 6.967
_cell_length_b 16.638
_cell_length_c 6.996
_cell_angle_alpha 90.00
_cell_angle_beta 111.25
_cell_angle_gamma 90.00
loop_
_atom_site_label
_atom_site_type_symbol
_atom_site_fract_x
_atom_site_fract_y
_atom_site_fract_z
_atom_site_occupancy
Sr1 Sr 0.000 0.000 0.000 1
Sr2 Sr 0.079 0.215 0.292 1
Sr3 Sr 0.132 0.315 0.777 1
Sr4 Sr 0.418 0.000 0.828 1
Pt1 Pt 0.009 0.128 0.657 1
Pt2 Pt 0.055 0.000 0.425 1
Pt3 Pt 0.208 0.396 0.241 1
Pt4 Pt 0.231 0.500 0.558 1
Pt5 Pt 0.310 0.151 0.005 1
Pt6 Pt 0.382 0.082 0.370 1
```

Properties
- energy above the most stable polymorph in this dataset (eV per atom) = 0.0000
- total energy (eV/atom) = -5.022
- formation enthalpy at 0 K (eV per atom) = -0.616


3.
DFT (GGA-PBE) results for an optimized crystal structure of SrPt3.

Structure (CIF):
```
data_SrPt3
_chemical_formula_sum 'Sr1 Pt3'
_symmetry_space_group_name_H-M 'P m m 2'
_symmetry_Int_Tables_number 25
_symmetry_space_group_name_Hall 'P 2 -2'
_cell_length_a 2.977
_cell_length_b 4.911
_cell_length_c 5.158
_cell_angle_alpha 90.00
_cell_angle_beta 90.00
_cell_angle_gamma 90.00
loop_
_atom_site_label
_atom_site_type_symbol
_atom_site_fract_x
_atom_site_fract_y
_atom_site_fract_z
_atom_site_occupancy
Sr1 Sr 0.000 0.000 0.000 1
Pt1 Pt 0.000 0.500 0.593 1
Pt2 Pt 0.500 0.000 0.510 1
Pt3 Pt 0.500 0.500 0.138 1
```

Properties
- total energy (eV/atom) = -5.198
- formation enthalpy at 0 K (eV per atom) = -0.246


4.
DFT (GGA-PBE) results for an optimized crystal structure of Sr3Pt.

Structure (CIF):
```
data_Sr3Pt
_chemical_formula_sum 'Sr12 Pt4'
_symmetry_space_group_name_H-M 'P 63/m m c'
_symmetry_Int_Tables_number 194
_symmetry_space_group_name_Hall '-P 6c 2c'
_cell_length_a 7.3610
_cell_length_b 7.3610
_cell_length_c 11.4198
_cell_angle_alpha 90.00
_cell_angle_beta 90.00
_cell_angle_gamma 120.00
loop_
_atom_site_label
_atom_site_type_symbol
_atom_site_fract_x
_atom_site_fract_y
_atom_site_fract_z
_atom_site_occupancy
Sr1 Sr 0.0000 0.5000 0.0000 1
Sr2 Sr 0.1557 0.3114 0.2500 1
Pt1 Pt 0.0000 0.0000 0.0000 1
Pt2 Pt 0.3333 0.6667 0.7500 1
```

Properties
- total energy (eV/atom) = -2.933
- formation enthalpy at 0 K (eV per atom) = -0.161


5.
DFT (GGA-PBE) results for an optimized crystal structure of Sr3Pt2.

Structure (CIF):
```
data_Sr3Pt2
_chemical_formula_sum 'Sr27 Pt18'
_symmetry_space_group_name_H-M 'R -3'
_symmetry_Int_Tables_number 148
_symmetry_space_group_name_Hall '-R 3'
_cell_length_a 9.3596
_cell_length_b 9.3596
_cell_length_c 17.8770
_cell_angle_alpha 90.00
_cell_angle_beta 90.00
_cell_angle_gamma 120.00
loop_
_atom_site_label
_atom_site_type_symbol
_atom_site_fract_x
_atom_site_fract_y
_atom_site_fract_z
_atom_site_occupancy
Sr1 Sr 0.0000 0.0000 0.0000 1
Sr2 Sr 0.0000 0.0000 0.2007 1
Sr3 Sr 0.0125 0.7477 0.5933 1
Pt1 Pt 0.0212 0.4129 0.5663 1
```

Properties
- energy above the most stable polymorph in this dataset (eV per atom) = 0.0000
- total energy (eV/atom) = -4.190
- formation enthalpy at 0 K (eV per atom) = -0.765


6.
DFT (GGA-PBE) results for an optimized crystal structure of SrPt3.

Structure (CIF):
```
data_SrPt3
_chemical_formula_sum 'Sr2 Pt6'
_symmetry_space_group_name_H-M 'C m m m'
_symmetry_Int_Tables_number 65
_symmetry_space_group_name_Hall '-C 2 2'
_cell_length_a 6.037
_cell_length_b 8.212
_cell_length_c 2.992
_cell_angle_alpha 90.00
_cell_angle_beta 90.00
_cell_angle_gamma 90.00
loop_
_atom_site_label
_atom_site_type_symbol
_atom_site_fract_x
_atom_site_fract_y
_atom_site_fract_z
_atom_site_occupancy
Sr1 Sr 0.000 0.000 0.000 1
Pt1 Pt 0.000 0.500 0.000 1
Pt2 Pt 0.250 0.250 0.500 1
```

Properties
- total energy (eV/atom) = -5.216
- formation enthalpy at 0 K (eV per atom) = -0.265


7.
DFT (GGA-PBE) results for an optimized crystal structure of Sr3Pt.

Structure (CIF):
```
data_Sr3Pt
_chemical_formula_sum 'Sr6 Pt2'
_symmetry_space_group_name_H-M 'P 63 2 2'
_symmetry_Int_Tables_number 182
_symmetry_space_group_name_Hall 'P 6c 2c'
_cell_length_a 7.4209
_cell_length_b 7.4209
_cell_length_c 7.1001
_cell_angle_alpha 90.00
_cell_angle_beta 90.00
_cell_angle_gamma 120.00
loop_
_atom_site_label
_atom_site_type_symbol
_atom_site_fract_x
_atom_site_fract_y
_atom_site_fract_z
_atom_site_occupancy
Sr1 Sr 0.0000 0.3417 0.0000 1
Pt1 Pt 0.3333 0.6667 0.2500 1
```

Properties
- total energy (eV/atom) = -3.326
- formation enthalpy at 0 K (eV per atom) = -0.555


8.
DFT (GGA-PBE) results for an optimized crystal structure of Sr3Pt.

Structure (CIF):
```
data_Sr3Pt
_chemical_formula_sum 'Sr18 Pt6'
_symmetry_space_group_name_H-M 'P m n 21'
_symmetry_Int_Tables_number 31
_symmetry_space_group_name_Hall 'P 2ac -2'
_cell_length_a 11.458
_cell_length_b 7.095
_cell_length_c 12.024
_cell_angle_alpha 90.00
_cell_angle_beta 90.00
_cell_angle_gamma 90.00
loop_
_atom_site_label
_atom_site_type_symbol
_atom_site_fract_x
_atom_site_fract_y
_atom_site_fract_z
_atom_site_occupancy
Sr1 Sr 0.000 0.107 0.011 1
Sr2 Sr 0.000 0.226 0.381 1
Sr3 Sr 0.000 0.373 0.716 1
Sr4 Sr 0.158 0.717 0.313 1
Sr5 Sr 0.173 0.628 0.000 1
Sr6 Sr 0.179 0.825 0.657 1
Pt1 Pt 0.000 0.450 0.167 1
Pt2 Pt 0.000 0.603 0.504 1
Pt3 Pt 0.000 0.777 0.835 1
```

Properties
- total energy (eV/atom) = -3.223
- formation enthalpy at 0 K (eV per atom) = -0.451


9.
DFT (GGA-PBE) results for an optimized crystal structure of Sr5Pt3.

Structure (CIF):
```
data_Sr5Pt3
_chemical_formula_sum 'Sr10 Pt6'
_symmetry_space_group_name_H-M 'P 63/m c m'
_symmetry_Int_Tables_number 193
_symmetry_space_group_name_Hall '-P 6c 2'
_cell_length_a 8.9604
_cell_length_b 8.9604
_cell_length_c 7.0018
_cell_angle_alpha 90.00
_cell_angle_beta 90.00
_cell_angle_gamma 120.00
loop_
_atom_site_label
_atom_site_type_symbol
_atom_site_fract_x
_atom_site_fract_y
_atom_site_fract_z
_atom_site_occupancy
Sr1 Sr 0.0000 0.2629 0.2500 1
Sr2 Sr 0.3333 0.6667 0.0000 1
Pt1 Pt 0.0000 0.3895 0.7500 1
```

Properties
- energy above the most stable polymorph in this dataset (eV per atom) = 0.0000
- total energy (eV/atom) = -4.019
- formation enthalpy at 0 K (eV per atom) = -0.702


10.
DFT (GGA-PBE) results for an optimized crystal structure of Sr4Pt5.

Structure (CIF):
```
data_Sr4Pt5
_chemical_formula_sum 'Sr8 Pt10'
_symmetry_space_group_name_H-M 'I 4/m m m'
_symmetry_Int_Tables_number 139
_symmetry_space_group_name_Hall '-I 4 2'
_cell_length_a 9.868
_cell_length_b 9.868
_cell_length_c 4.468
_cell_angle_alpha 90.00
_cell_angle_beta 90.00
_cell_angle_gamma 90.00
loop_
_atom_site_label
_atom_site_type_symbol
_atom_site_fract_x
_atom_site_fract_y
_atom_site_fract_z
_atom_site_occupancy
Sr1 Sr 0.000 0.288 0.000 1
Pt1 Pt 0.000 0.000 0.000 1
Pt2 Pt 0.157 0.157 0.500 1
```

Properties
- energy above the most stable polymorph in this dataset (eV per atom) = 0.0358
- total energy (eV/atom) = -4.511
- formation enthalpy at 0 K (eV per atom) = -0.407


11.
DFT (GGA-PBE) results for an optimized crystal structure of SrPt3.

Structure (CIF):
```
data_SrPt3
_chemical_formula_sum 'Sr2 Pt6'
_symmetry_space_group_name_H-M 'P m -3 n'
_symmetry_Int_Tables_number 223
_symmetry_space_group_name_Hall '-P 4n 2 3'
_cell_length_a 5.428
_cell_length_b 5.428
_cell_length_c 5.428
_cell_angle_alpha 90.00
_cell_angle_beta 90.00
_cell_angle_gamma 90.00
loop_
_atom_site_label
_atom_site_type_symbol
_atom_site_fract_x
_atom_site_fract_y
_atom_site_fract_z
_atom_site_occupancy
Sr1 Sr 0.000 0.000 0.000 1
Pt1 Pt 0.000 0.250 0.500 1
```

Properties
- total energy (eV/atom) = -4.940
- formation enthalpy at 0 K (eV per atom) = 0.011


12.
DFT (GGA-PBE) results for an optimized crystal structure of Sr3Pt.

Structure (CIF):
```
data_Sr3Pt
_chemical_formula_sum 'Sr3 Pt1'
_symmetry_space_group_name_H-M 'P -6 m 2'
_symmetry_Int_Tables_number 187
_symmetry_space_group_name_Hall 'P -6 2'
_cell_length_a 4.2498
_cell_length_b 4.2498
_cell_length_c 10.8892
_cell_angle_alpha 90.00
_cell_angle_beta 90.00
_cell_angle_gamma 120.00
loop_
_atom_site_label
_atom_site_type_symbol
_atom_site_fract_x
_atom_site_fract_y
_atom_site_fract_z
_atom_site_occupancy
Sr1 Sr 0.0000 0.0000 0.0000 1
Sr2 Sr 0.6667 0.3333 0.3328 1
Pt1 Pt 0.0000 0.0000 0.5000 1
```

Properties
- total energy (eV/atom) = -3.157
- formation enthalpy at 0 K (eV per atom) = -0.385


Q: Number 6 is which compound?
A: SrPt3